Entry i
AgHg3Pd6 | GGA-PBE | relaxed

Output
Theoretical density ... 12484 kg/m³

Cell: 9.2470 15.5852 4.9771 Å, 90.00 90.00 90.00°
Last column: nearest neighbours and their distance in Å.
Space group Cmc2_1 (No. 36)
Inequivalent atoms, fractional coordinates:
Ag (0.0000, 0.2169, 0.0000)  7 Pd 2.70-2.79, 3 Hg 2.87-2.90
Hg (0.0000, 0.3999, 0.9343)  5 Pd 2.73-2.83, 1 Ag 2.87
Hg (0.1658, 0.0982, 0.3244)  5 Pd 2.74-2.91, 1 Ag 2.90, 1 Hg 3.07
Pd (0.0000, 0.0542, 0.8016)  1 Ag 2.72, 4 Hg 2.83-2.91, 2 Pd 3.01
Pd (0.0000, 0.2950, 0.4951)  1 Hg 2.73, 6 Pd 2.74-2.86, 2 Ag 2.75-2.79
Pd (0.1625, 0.4472, 0.3886)  4 Hg 2.78-2.86, 5 Pd 2.79-3.00
Pd (0.2472, 0.2138, 0.7104)  2 Ag 2.70-2.78, 5 Pd 2.73-2.82, 1 Hg 2.74

=====

Entry ii
AgHg3Pd6 | GGA-PBE | relaxed

Output
Theoretical density ... 12979 kg/m³

Cell: 7.7151 4.7210 10.1221 Å, 90.00 110.66 90.00°
Last column: nearest neighbours and their distance in Å.
Space group P2_1/m (No. 11)
Inequivalent atoms, fractional coordinates:
Ag (0.0419, 0.2500, 0.4225)  8 Pd 2.82-2.85, 2 Hg 3.01-3.04, 2 Ag 3.03
Hg (0.2270, 0.2500, 0.0167)  11 Pd 2.78-3.03
Hg (0.3527, 0.7500, 0.7796)  8 Pd 2.77-2.90, 1 Ag 3.01
Hg (0.4454, 0.2500, 0.6167)  9 Pd 2.78-3.00, 1 Ag 3.04, 2 Hg 3.10
Pd (0.0569, 0.7500, 0.8746)  4 Hg 2.77-2.83, 1 Ag 2.83, 7 Pd 2.84-3.07
Pd (0.1355, 0.2500, 0.7199)  5 Pd 2.81-3.06, 4 Hg 2.83-2.93, 3 Ag 2.84-2.85
Pd (0.1613, 0.7500, 0.1811)  8 Pd 2.81-2.92, 4 Hg 2.96-3.03
Pd (0.2566, 0.7500, 0.4772)  4 Hg 2.78-2.88, 5 Pd 2.82-3.10, 3 Ag 2.82-2.83
Pd (0.3354, 0.2500, 0.3165)  6 Pd 2.82-3.10, 1 Ag 2.83, 5 Hg 2.84-2.90
Pd (0.4607, 0.7500, 0.0790)  5 Pd 2.84-3.07, 7 Hg 2.85-2.90

=====

The energy of each structure relative to the most stable one, in meV per atom, is as follows: entry i 130; entry ii 0.

=====

Entry i
Ag8Hg2Pd | GGA-PBE | relaxed

Output
Theoretical density ... 10669 kg/m³

Cell: 4.0698 8.5783 12.2205 Å, 90.00 90.00 90.00°
Last column: nearest neighbours and their distance in Å.
Space group Immm (No. 71)
Inequivalent atoms, fractional coordinates:
Ag (0.0000, 0.0000, 0.1701)  8 Ag 2.89-2.97, 2 Pd 2.91, 2 Hg 3.04
Ag (0.0000, 0.2340, 0.0000)  2 Pd 2.86, 6 Ag 2.86-2.89, 2 Hg 2.89
Ag (0.0000, 0.2539, 0.3354)  7 Ag 2.86-2.97, 1 Pd 2.92, 3 Hg 2.99-3.14
Hg (0.0000, 0.5000, 0.1456)  10 Ag 2.89-3.14
Pd (0.0000, 0.5000, 0.5000)  12 Ag 2.86-2.92

=====

Entry ii
Ag8Hg2Pd | GGA-PBE | relaxed

Output
Theoretical density ... 10479 kg/m³

Cell: 7.5842 13.3120 4.9009 Å, 90.00 118.61 90.00°
Last column: nearest neighbours and their distance in Å.
Space group C2/m (No. 12)
Inequivalent atoms, fractional coordinates:
Ag (0.0000, 0.2048, 0.0000)  1 Pd 2.73, 2 Hg 2.79, 2 Ag 2.99
Ag (0.0963, 0.5000, 0.8148)  6 Ag 2.71-3.01, 1 Pd 2.75, 2 Hg 2.92
Ag (0.2053, 0.1070, 0.6256)  5 Ag 2.75-3.01, 2 Hg 2.84-2.98, 1 Pd 3.05
Hg (0.0000, 0.3057, 0.5000)  8 Ag 2.79-2.98
Pd (0.0000, 0.0000, 0.0000)  8 Ag 2.73-3.05

=====

The energy of each structure relative to the most stable one, in meV per atom, is as follows: entry i 0; entry ii 85.

=====

Entry i
Ag4HgPd3 | GGA-PBE | relaxed

Output
Theoretical density ... 11362 kg/m³

Cell: 4.7422 4.7899 12.2418 Å, 90.00 90.00 90.00°
Last column: nearest neighbours and their distance in Å.
Space group Immm (No. 71)
Inequivalent atoms, fractional coordinates:
Ag (0.0000, 0.0000, 0.1280)  4 Ag 2.78-2.84, 3 Pd 2.84-3.06, 2 Hg 2.86
Ag (0.0000, 0.5000, 0.2531)  4 Ag 2.78-2.84, 5 Pd 2.84-3.02, 1 Hg 3.10
Hg (0.0000, 0.5000, 0.0000)  4 Pd 2.80, 6 Ag 2.86-3.10
Pd (0.0000, 0.0000, 0.3776)  2 Hg 2.80, 3 Pd 2.83-3.00, 5 Ag 2.84-3.06
Pd (0.0000, 0.5000, 0.5000)  4 Pd 2.83, 6 Ag 2.84-3.02

=====

Entry ii
Ag4HgPd3 | GGA-PBE | relaxed

Output
Theoretical density ... 11433 kg/m³

Cell: 19.0770 2.9335 4.9504 Å, 90.00 94.05 90.00°
Last column: nearest neighbours and their distance in Å.
Space group C2/m (No. 12)
Inequivalent atoms, fractional coordinates:
Ag (0.1271, 0.0000, 0.3790)  6 Ag 2.85-2.93, 5 Pd 2.86-2.93, 1 Hg 2.96
Ag (0.1300, 0.5000, 0.8737)  4 Pd 2.84-2.99, 6 Ag 2.85-2.93, 2 Hg 2.99
Hg (0.0000, 0.0000, 0.0000)  4 Pd 2.88, 2 Hg 2.93, 6 Ag 2.96-2.99
Pd (0.0000, 0.5000, 0.5000)  4 Hg 2.88, 6 Ag 2.93-2.99, 2 Pd 2.93
Pd (0.2490, 0.5000, 0.2518)  6 Ag 2.84-2.88, 6 Pd 2.86-2.93

=====

The energy of each structure relative to the most stable one, in meV per atom, is as follows: entry i 13; entry ii 0.

=====

Entry i
Ag2Hg3Pd7 | GGA-PBE | relaxed

Output
Theoretical density ... 12650 kg/m³

Cell: 6.0840 7.3969 18.2293 Å, 90.00 90.00 90.00°
Last column: nearest neighbours and their distance in Å.
Space group Fmmm (No. 69)
Inequivalent atoms, fractional coordinates:
Ag (0.0000, 0.0000, 0.1668)  8 Pd 2.83-2.85, 4 Hg 3.04-3.07
Hg (0.0000, 0.0000, 0.0000)  10 Pd 2.82-3.04, 2 Ag 3.04
Hg (0.0000, 0.0000, 0.3354)  9 Pd 2.83-3.00, 3 Ag 3.04-3.07
Pd (0.0000, 0.0000, 0.5000)  8 Pd 2.82, 4 Hg 3.00-3.04
Pd (0.2500, 0.2500, 0.0821)  4 Hg 2.82-2.83, 6 Pd 2.82-3.06, 2 Ag 2.85
Pd (0.2500, 0.2500, 0.2500)  4 Ag 2.83, 4 Hg 2.86, 4 Pd 3.04-3.06

=====

Entry ii
Ag2Hg3Pd7 | GGA-PBE | relaxed

Output
Theoretical density ... 11888 kg/m³

Cell: 4.6518 2.9105 16.1201 Å, 90.00 90.33 90.00°
Last column: nearest neighbours and their distance in Å.
Space group P2/m (No. 10)
Inequivalent atoms, fractional coordinates:
Ag (0.2392, 0.0000, 0.2871)  4 Pd 2.70-2.82, 2 Ag 2.91
Hg (0.2539, 0.5000, 0.6159)  2 Hg 2.91, 6 Pd 2.96-2.98, 4 Ag 3.14-3.17
Hg (0.5000, 0.0000, 0.0000)  10 Pd 2.74-2.93, 2 Hg 2.91
Pd (0.0000, 0.5000, 0.0000)  4 Hg 2.74, 8 Pd 2.88-2.91
Pd (0.1423, 0.0000, 0.8495)  8 Pd 2.73-2.91, 1 Ag 2.82, 1 Hg 2.93
Pd (0.2492, 0.0000, 0.4547)  1 Ag 2.70, 4 Pd 2.75-2.91, 6 Hg 2.96-2.98
Pd (0.3611, 0.5000, 0.1459)  7 Pd 2.73-2.91, 2 Ag 2.76, 2 Hg 2.84

=====

The energy of each structure relative to the most stable one, in meV per atom, is as follows: entry i 0; entry ii 167.

=====

Entry i
PmAgHg3 | GGA-PBE | relaxed

Output
Theoretical density ... 11933 kg/m³

Cell: 5.1385 5.1777 9.2961 Å, 90.00 105.90 90.00°
Last column: nearest neighbours and their distance in Å.
Space group P2_1/m (No. 11)
Inequivalent atoms, fractional coordinates:
Pm (0.1492, 0.2500, 0.3021)  8 Hg 3.12-3.16, 1 Ag 3.45
Ag (0.3440, 0.2500, 0.6877)  8 Hg 3.05-3.20
Hg (0.0493, 0.7500, 0.0996)  4 Hg 3.13-3.14, 2 Pm 3.16, 2 Ag 3.19-3.20
Hg (0.2496, 0.7500, 0.4979)  4 Ag 3.05-3.10, 4 Pm 3.12-3.14
Hg (0.4510, 0.7500, 0.8987)  4 Hg 3.13-3.16, 2 Pm 3.13-3.14, 2 Ag 3.20

=====

Entry ii
PmAgHg3 | GGA-PBE | relaxed

Output
Theoretical density ... 11749 kg/m³

Cell: 9.7212 5.0305 9.8800 Å, 90.00 90.00 90.00°
Last column: nearest neighbours and their distance in Å.
Space group Pnma (No. 62)
Inequivalent atoms, fractional coordinates:
Pm (0.2486, 0.2500, 0.0027)  9 Hg 3.21-3.46, 3 Ag 3.28-3.43
Ag (0.1258, 0.2500, 0.3284)  5 Hg 2.80-2.95
Hg (0.0651, 0.2500, 0.6126)  3 Ag 2.87-3.18, 2 Hg 2.88-2.97
Hg (0.0821, 0.7500, 0.8679)  2 Ag 2.80-2.87, 1 Hg 3.05
Hg (0.1350, 0.7500, 0.1718)  3 Hg 2.88-3.05, 2 Ag 2.95, 2 Pm 3.21

=====

The energy of each structure relative to the most stable one, in meV per atom, is as follows: entry i 0; entry ii 15.

=====

Entry i
Pm2AgHg6 | GGA-PBE | relaxed

Output
Theoretical density ... 12155 kg/m³

Cell: 9.3601 9.3695 4.9893 Å, 90.00 90.00 90.00°
Last column: nearest neighbours and their distance in Å.
Space group Pnnm (No. 58)
Inequivalent atoms, fractional coordinates:
Pm (0.2015, 0.2023, 0.0000)  10 Hg 3.17-3.32
Ag (0.0000, 0.0000, 0.5000)  8 Hg 3.05-3.19
Hg (0.0377, 0.3387, 0.5000)  6 Hg 3.09-3.33, 3 Pm 3.17-3.19, 1 Ag 3.19
Hg (0.1333, 0.8675, 0.0000)  2 Ag 3.05, 2 Hg 3.09, 4 Pm 3.20-3.32
Hg (0.1614, 0.5385, 0.0000)  6 Hg 3.09-3.33, 3 Pm 3.17-3.20, 1 Ag 3.19

=====

Entry ii
Pm2AgHg6 | GGA-PBE | relaxed

Output
Theoretical density ... 11304 kg/m³

Cell: 11.4592 8.1368 5.6589 Å, 90.00 116.92 90.00°
Last column: nearest neighbours and their distance in Å.
Space group C2/m (No. 12)
Inequivalent atoms, fractional coordinates:
Pm (0.1833, 0.0000, 0.2802)  8 Hg 3.13-3.34, 1 Ag 3.26
Ag (0.0000, 0.5000, 0.5000)  8 Hg 3.00-3.17, 2 Pm 3.26
Hg (0.0000, 0.3232, 0.0000)  3 Hg 2.88-2.97, 2 Ag 3.17
Hg (0.1458, 0.1868, 0.7243)  4 Hg 2.97-3.15, 1 Ag 3.00, 2 Pm 3.13-3.22

=====

The energy of each structure relative to the most stable one, in meV per atom, is as follows: entry i 0; entry ii 110.

=====

Entry i
Pm4Ag3Hg | GGA-PBE | relaxed

Output
Theoretical density ... 8681 kg/m³

Cell: 3.7472 5.3153 10.6048 Å, 90.00 90.00 90.00°
Last column: nearest neighbours and their distance in Å.
Space group Pmmm (No. 47)
Inequivalent atoms, fractional coordinates:
Pm (0.0000, 0.0000, 0.0000)  8 Ag 3.24-3.25
Pm (0.0000, 0.0000, 0.5000)  4 Hg 3.25, 4 Ag 3.26
Pm (0.0000, 0.5000, 0.2462)  6 Ag 3.21-3.25, 2 Hg 3.28
Ag (0.5000, 0.0000, 0.2489)  8 Pm 3.24-3.26
Ag (0.5000, 0.5000, 0.0000)  8 Pm 3.21-3.25
Hg (0.5000, 0.5000, 0.5000)  8 Pm 3.25-3.28

=====

Entry ii
Pm4Ag3Hg | GGA-PBE | relaxed

Output
Theoretical density ... 8477 kg/m³

Cell: 3.8132 4.9149 11.5419 Å, 90.00 90.00 90.00°
Last column: nearest neighbours and their distance in Å.
Space group Pmm2 (No. 25)
Inequivalent atoms, fractional coordinates:
Pm (0.0000, 0.0000, 0.0000)  6 Ag 3.14-3.20, 1 Hg 3.23
Pm (0.0000, 0.5000, 0.2822)  7 Ag 3.15-3.20
Pm (0.5000, 0.0000, 0.4902)  5 Ag 3.16-3.21, 2 Hg 3.27
Pm (0.5000, 0.5000, 0.7883)  3 Ag 3.19-3.26, 4 Hg 3.21
Ag (0.0000, 0.5000, 0.5590)  2 Hg 3.08, 7 Pm 3.20-3.26
Ag (0.5000, 0.0000, 0.2165)  2 Ag 3.02, 7 Pm 3.14-3.20
Ag (0.5000, 0.5000, 0.0650)  2 Ag 3.02, 7 Pm 3.15-3.20
Hg (0.0000, 0.0000, 0.7202)  2 Ag 3.08, 7 Pm 3.21-3.27

=====

The energy of each structure relative to the most stable one, in meV per atom, is as follows: entry i 0; entry ii 27.

=====

Entry i
PmAgHg4 | GGA-PBE | relaxed

Output
Theoretical density ... 12175 kg/m³

Cell: 9.8950 4.4876 6.8461 Å, 90.00 108.76 90.00°
Last column: nearest neighbours and their distance in Å.
Space group C2/m (No. 12)
Inequivalent atoms, fractional coordinates:
Pm (0.0000, 0.0000, 0.0000)  10 Hg 3.24-3.27, 2 Ag 3.42
Ag (0.0000, 0.0000, 0.5000)  10 Hg 3.05-3.25
Hg (0.1535, 0.5000, 0.8015)  4 Hg 3.08-3.27, 2 Ag 3.10, 3 Pm 3.24-3.26
Hg (0.1746, 0.5000, 0.3347)  3 Ag 3.05-3.25, 6 Hg 3.08-3.27, 2 Pm 3.27

=====

Entry ii
PmAgHg4 | GGA-PBE | relaxed

Output
Theoretical density ... 11909 kg/m³

Cell: 8.3804 8.3804 8.3804 Å, 90.00 90.00 90.00°
Last column: nearest neighbours and their distance in Å.
Space group F-43m (No. 216)
Inequivalent atoms, fractional coordinates:
Pm (0.0000, 0.0000, 0.0000)  12 Hg 3.47, 4 Ag 3.63
Ag (0.2500, 0.2500, 0.2500)  12 Hg 3.47, 4 Pm 3.63
Hg (0.1248, 0.1248, 0.6248)  6 Hg 2.96-2.97

=====

The energy of each structure relative to the most stable one, in meV per atom, is as follows: entry i 0; entry ii 182.

=====

Entry i
Pm4AgHg7 | GGA-PBE | relaxed

Output
Theoretical density ... 11085 kg/m³

Cell: 5.2013 7.6752 9.1046 Å, 109.80 99.36 106.80°
Last column: nearest neighbours and their distance in Å.
Space group P1 (No. 1)
Inequivalent atoms, fractional coordinates:
Pm (0.0000, 0.0000, 0.0000)  9 Hg 3.18-3.45, 1 Ag 3.30
Pm (0.0655, 0.3051, 0.5034)  9 Hg 3.17-3.42, 1 Ag 3.17
Pm (0.4948, 0.4956, 0.9972)  9 Hg 3.19-3.43, 1 Ag 3.31
Pm (0.5647, 0.8083, 0.5036)  8 Hg 3.17-3.37, 2 Ag 3.19-3.22
Ag (0.2171, 0.0497, 0.6898)  4 Hg 2.94-3.00, 3 Pm 3.17-3.22
Hg (0.0274, 0.4461, 0.1842)  4 Hg 2.99-3.09, 3 Pm 3.19-3.21
Hg (0.0381, 0.8640, 0.3245)  1 Ag 3.00, 3 Hg 3.00-3.05, 3 Pm 3.17
Hg (0.3448, 0.7670, 0.8133)  1 Ag 2.94, 3 Hg 2.99-3.07, 4 Pm 3.18-3.29
Hg (0.5274, 0.9420, 0.1877)  4 Hg 3.01-3.07, 5 Pm 3.21-3.36
Hg (0.5351, 0.3608, 0.3143)  4 Hg 2.99-3.07, 4 Pm 3.22-3.35
Hg (0.7231, 0.5470, 0.6885)  4 Hg 2.99-3.07, 4 Pm 3.20-3.32
Hg (0.8326, 0.2463, 0.8080)  2 Ag 2.94-2.96, 2 Hg 3.02-3.09, 4 Pm 3.18-3.26

=====

Entry ii
Pm4AgHg7 | GGA-PBE | relaxed

Output
Theoretical density ... 10705 kg/m³

Cell: 15.6014 5.3914 9.2953 Å, 90.00 123.89 90.00°
Last column: nearest neighbours and their distance in Å.
Space group C2/m (No. 12)
Inequivalent atoms, fractional coordinates:
Pm (0.0696, 0.0000, 0.2478)  8 Hg 3.08-3.38
Pm (0.2380, 0.0000, 0.7579)  8 Hg 3.10-3.37
Ag (0.0000, 0.5000, 0.5000)  6 Hg 2.70-3.01
Hg (0.0000, 0.0000, 0.5000)  2 Ag 2.70
Hg (0.0578, 0.5000, 0.8674)  1 Ag 3.01, 3 Pm 3.15-3.16, 2 Hg 3.18
Hg (0.1816, 0.0000, 0.0391)  5 Pm 3.12-3.29, 2 Hg 3.18
Hg (0.1871, 0.5000, 0.5051)  1 Ag 2.89, 1 Pm 3.16

=====

The energy of each structure relative to the most stable one, in meV per atom, is as follows: entry i 0; entry ii 101.

=====

Entry i
Pm3Ag2Hg4 | GGA-PBE | relaxed

Output
Theoretical density ... 10921 kg/m³

Cell: 11.0894 4.9725 9.2395 Å, 90.00 119.85 90.00°
Last column: nearest neighbours and their distance in Å.
Space group C2/m (No. 12)
Inequivalent atoms, fractional coordinates:
Pm (0.0000, 0.0000, 0.0000)  8 Hg 3.30-3.44, 4 Ag 3.34, 2 Pm 3.44
Pm (0.1672, 0.5000, 0.6651)  4 Ag 3.31-3.37, 8 Hg 3.31-3.39, 2 Pm 3.43-3.44
Ag (0.1085, 0.5000, 0.2773)  3 Hg 2.84-2.85
Hg (0.0590, 0.0000, 0.3885)  2 Ag 2.85, 1 Hg 2.94
Hg (0.2150, 0.5000, 0.0546)  1 Ag 2.84, 2 Hg 2.93

=====

Entry ii
Pm3Ag2Hg4 | GGA-PBE | relaxed

Output
Theoretical density ... 10736 kg/m³

Cell: 9.3785 5.2658 9.1866 Å, 90.00 97.77 90.00°
Last column: nearest neighbours and their distance in Å.
Space group C2/m (No. 12)
Inequivalent atoms, fractional coordinates:
Pm (0.0000, 0.0000, 0.0000)  8 Hg 3.16-3.19
Pm (0.1257, 0.5000, 0.7212)  4 Hg 3.14-3.26, 4 Ag 3.21-3.30
Ag (0.2223, 0.5000, 0.3987)  5 Hg 2.91-3.19, 3 Pm 3.21-3.26, 2 Ag 3.23
Hg (0.0525, 0.0000, 0.3499)  4 Ag 2.91-3.19, 1 Hg 3.05, 4 Pm 3.14-3.19
Hg (0.1797, 0.5000, 0.0790)  1 Ag 2.91, 4 Pm 3.16-3.26

=====

The energy of each structure relative to the most stable one, in meV per atom, is as follows: entry i 0; entry ii 19.